Entry from Alexandria: a geometry-optimized MnSn structure (GGA-PBE).

Formation enthalpy at 0 K   0.15 eV/atom
Space group   No. 194
Calculated volume   79 Å³/cell
D(E_F)   0.59 states/eV/atom

a b c (Å): 4.0576 4.0587 5.5626
angles (deg): 90.00 90.00 119.99
Site moments in Bohr magnetons follow the coordinates.
Fractional positions:
Mn  0.0000  0.0000  0.0000  2.93
Mn  0.0000  0.0000  0.5000  2.93
Sn  0.3333  0.6666  0.2500  -0.21
Sn  0.6667  0.3334  0.7500  -0.21

Entry from Alexandria: a geometry-optimized Nd4Sm3Ho8 structure (GGA-PBE).

Formation enthalpy at 0 K   0.13 eV/atom
Space group   No. 166
Calculated volume   502 Å³/cell
Distance to the lowest polymorph of the same formula   0.00 kJ/mol of atoms
D(E_F)   1.54 states/eV/atom

a b c (Å): 6.9888 6.9888 12.5271
angles (deg): 73.80 73.80 60.00
Fractional positions:
Sm  0.0000  0.0000  0.5000
Sm  0.5000  0.0000  0.5000
Sm  0.0000  0.5000  0.5000
Nd  0.5000  0.5000  0.5000
Nd  0.6636  0.6636  0.0093
Nd  0.3364  0.3364  0.9907
Nd  0.0000  0.0000  0.0000
Ho  0.2483  0.7501  0.2514
Ho  0.7501  0.2483  0.2514
Ho  0.7546  0.7546  0.7362
Ho  0.7517  0.2499  0.7486
Ho  0.2454  0.2454  0.2638
Ho  0.2499  0.7517  0.7486
Ho  0.7501  0.7501  0.2514
Ho  0.2499  0.2499  0.7486

Entry from Alexandria: a geometry-optimized ScReIr structure (GGA-PBE).

Formation enthalpy at 0 K   -0.31 eV/atom
Space group   No. 107
Calculated volume   49 Å³/cell
Distance to the lowest polymorph of the same formula   0.00 kJ/mol of atoms
D(E_F)   0.91 states/eV/atom

a b c (Å): 6.4205 6.4207 2.8474
angles (deg): 77.18 77.19 25.62
Fractional positions:
Re  0.6528  0.6528  0.3472
Sc  0.3354  0.3354  0.6646
Ir  0.0118  0.0118  0.9882

Question: Which of these has the lowest calculated volume?
Answer: ScReIr

Question: Which formula does entry 1 have?
Answer: MnSn

Question: Which formula does entry 3 have?
Answer: ScReIr

Question: Among the records above, which one has the lowest D(E_F)?
Answer: MnSn